! RbTbCdBr6 (PBE, optimized geometry); values from VASP
! Space-group type ... P-31c
&SYSTEM
  ibrav = 0, nat = 18, ntyp = 4
/
ATOMIC_SPECIES
Br 79.90 Br.upf
Rb 85.47 Rb.upf
Tb 158.93 Tb.upf
Cd 112.41 Cd.upf
CELL_PARAMETERS angstrom
7.3387 0.0000 0.0000
-3.6694 6.3555 0.0000
0.0000 0.0000 15.2420
ATOMIC_POSITIONS crystal
Br 0.3767 0.3761 0.8576
Br 0.0006 0.3767 0.1424
Br 0.6239 0.0006 0.8576
Br 0.9994 0.6233 0.8576
Br 0.6239 0.6233 0.6424
Br 0.6233 0.9994 0.3576
Br 0.6233 0.6239 0.1424
Br 0.0006 0.6239 0.3576
Br 0.3767 0.0006 0.6424
Br 0.3761 0.3767 0.3576
Br 0.9994 0.3761 0.6424
Br 0.3761 0.9994 0.1424
Rb 0.0000 0.0000 0.5000
Rb 0.0000 0.0000 0.0000
Tb 0.6667 0.3333 0.2500
Tb 0.3333 0.6667 0.7500
Cd 0.3333 0.6667 0.2500
Cd 0.6667 0.3333 0.7500

! Rb2TiCdBr6 (PBE, optimized geometry); values from VASP
! Space-group type ... Fm-3m
&SYSTEM
  ibrav = 0, nat = 10, ntyp = 4
/
ATOMIC_SPECIES
Br 79.90 Br.upf
Cd 112.41 Cd.upf
Rb 85.47 Rb.upf
Ti 47.87 Ti.upf
CELL_PARAMETERS angstrom
-6.2519 -4.2729 -1.9683
1.5329 -4.9451 5.8664
-5.5065 -1.5652 5.3371
ATOMIC_POSITIONS crystal
Br 0.7386 0.7386 0.0000
Br 0.2614 0.2614 0.0000
Br 0.7386 0.2614 0.0000
Br 0.2614 0.7386 0.0000
Br 0.7388 0.7388 0.5224
Br 0.2612 0.2612 0.4776
Cd 0.0000 0.0000 0.0000
Rb 0.7500 0.2500 0.5000
Rb 0.2500 0.7500 0.5000
Ti 0.5000 0.5000 0.0000

! RbTlCd2Br6 (PBE, optimized geometry); values from VASP
! Space-group type ... C2/c
&SYSTEM
  ibrav = 0, nat = 20, ntyp = 4
/
ATOMIC_SPECIES
Br 79.90 Br.upf
Tl 204.38 Tl.upf
Cd 112.41 Cd.upf
Rb 85.47 Rb.upf
CELL_PARAMETERS angstrom
8.0361 -0.2871 -0.2979
2.2263 10.0322 0.5646
2.2263 0.1924 10.0462
ATOMIC_POSITIONS crystal
Br 0.6590 0.7906 0.9839
Br 0.8722 0.3843 0.9030
Br 0.3410 0.2094 0.0161
Br 0.3722 0.9030 0.3843
Br 0.0011 0.6717 0.5986
Br 0.6278 0.0970 0.6157
Br 0.8410 0.0161 0.2094
Br 0.1590 0.9839 0.7906
Br 0.9989 0.3283 0.4014
Br 0.1278 0.6157 0.0970
Br 0.4989 0.4014 0.3283
Br 0.5011 0.5986 0.6717
Tl 0.7500 0.0999 0.9001
Tl 0.2500 0.9001 0.0999
Cd 0.2543 0.8082 0.6208
Cd 0.2457 0.3792 0.1918
Cd 0.7457 0.1918 0.3792
Cd 0.7543 0.6208 0.8082
Rb 0.7500 0.6794 0.3206
Rb 0.2500 0.3206 0.6794

! Rb2TlCd2Br7 (PBE, optimized geometry); values from VASP
! Space-group type ... C2/m
&SYSTEM
  ibrav = 0, nat = 12, ntyp = 4
/
ATOMIC_SPECIES
Rb 85.47 Rb.upf
Br 79.90 Br.upf
Cd 112.41 Cd.upf
Tl 204.38 Tl.upf
CELL_PARAMETERS angstrom
5.5804 -0.0038 0.0192
0.0030 5.5804 0.0192
2.7476 2.7442 13.9415
ATOMIC_POSITIONS crystal
Rb 0.1784 0.1784 0.6452
Rb 0.8216 0.8216 0.3548
Br 0.5000 0.5000 0.0000
Br 0.4057 0.9059 0.1869
Br 0.3013 0.3013 0.3968
Br 0.9059 0.4057 0.1869
Br 0.6987 0.6987 0.6032
Br 0.0941 0.5943 0.8131
Br 0.5943 0.0941 0.8131
Cd 0.6019 0.6019 0.7978
Cd 0.3981 0.3981 0.2022
Tl 0.0000 0.0000 0.0000

The calculation returns the following magnetization values, one per record and in order: 0.000, 0.198, 0.000, 0.000 μB per atom.
The calculation returns the following energy relative to the elements, uncorrected values, one per record and in order: -1527, -1219, -1039, -1126 meV per atom.